An optimized crystal structure of NaCd2Os2. Source: Alexandria via LeMat-Bulk, functional PBEsol.

Geometry as extended XYZ:
```
5
Lattice="-2.4596 2.4596 4.4100 2.4596 -2.4596 4.4100 2.4596 2.4596 -4.4100" Properties=species:S:1:pos:R:3 pbc="T T T"
Na 0.0000 0.0000 0.0000
Cd 2.4596 0.0000 2.2050
Cd 0.0000 2.4596 2.2050
Os 0.0000 0.0000 3.2956
Os 0.0000 0.0000 5.5243
```

Computed properties:
formation energy from the elements: 959.6 meV per atom
raw total energy: -4.69 eV/atom
calculated density: 9.78 g/cm³